(1)
! Pr2CdAs2PdO2, relaxed, DFT PBE; values from VASP
&SYSTEM
  ibrav = 0, nat = 8, ntyp = 5
/
ATOMIC_SPECIES
As 74.92 As.upf
Cd 112.41 Cd.upf
O 16.00 O.upf
Pr 140.91 Pr.upf
Pd 106.42 Pd.upf
ATOMIC_POSITIONS crystal
As 0.5000 0.0000 0.1885
As 0.0000 0.5000 0.8115
Cd 0.0000 0.0000 0.0000
O 0.0000 0.0000 0.5000
O 0.5000 0.5000 0.5000
Pr 0.5000 0.0000 0.6303
Pr 0.0000 0.5000 0.3697
Pd 0.5000 0.5000 0.0000
CELL_PARAMETERS angstrom
4.1381 0.0000 0.0000
0.0000 4.1381 0.0000
0.0000 0.0000 8.9901
! **V**: 19.243 A^3/atom
! **Total magnetization**: 0.01 μB per formula unit
! **Space group**: No. 115
! **Electronic total energy**: -48.4 eV per cell

***

(2)
! HoNiOs, relaxed, DFT PBE; values from VASP
&SYSTEM
  ibrav = 0, nat = 3, ntyp = 3
/
ATOMIC_SPECIES
Ni 58.69 Ni.upf
Ho 164.93 Ho.upf
Os 190.23 Os.upf
ATOMIC_POSITIONS crystal
Ni 0.2500 0.2500 0.2500
Ho 0.0000 0.0000 0.0000
Os 0.7500 0.7500 0.7500
CELL_PARAMETERS angstrom
0.0000 3.1013 3.1013
3.1013 0.0000 3.1013
3.1013 3.1013 0.0000
! **V**: 19.885 A^3/atom
! **Total magnetization**: 0.15 μB per formula unit
! **Calculated formation energy**: 1046 meV per atom
! **Space group**: No. 216
! **Distance to the lowest polymorph of the same formula**: 72.5 kJ/mol of atoms

***

(3)
! UBeTc, relaxed, DFT PBE; values from VASP
&SYSTEM
  ibrav = 0, nat = 3, ntyp = 3
/
ATOMIC_SPECIES
Tc 98.00 Tc.upf
U 238.03 U.upf
Be 9.01 Be.upf
ATOMIC_POSITIONS crystal
Tc 0.5000 0.5000 0.5000
U 0.2500 0.2500 0.2500
Be 0.0000 0.0000 0.0000
CELL_PARAMETERS angstrom
-1.8775 -1.0170 3.7309
-3.0846 2.5232 1.6120
-4.0782 -1.3582 0.0540
! **V**: 18.724 A^3/atom
! **Total magnetization**: 0.88 μB per formula unit
! **Space group**: No. 216
! **Distance to the lowest polymorph of the same formula**: 64.2 kJ/mol of atoms

***

(4)
! ReW2, relaxed, DFT PBE; values from VASP
&SYSTEM
  ibrav = 0, nat = 6, ntyp = 2
/
ATOMIC_SPECIES
W 183.84 W.upf
Re 186.21 Re.upf
ATOMIC_POSITIONS crystal
W 0.3750 0.3750 0.3750
W 0.3750 0.8750 0.3750
W 0.3750 0.3750 0.8750
W 0.8750 0.3750 0.3750
Re 0.5000 0.5000 0.5000
Re 0.2500 0.2500 0.2500
CELL_PARAMETERS angstrom
4.1783 -0.8651 6.5511
7.3827 2.5560 0.2940
1.8037 6.2479 4.3397
! **V**: 56.318 A^3/atom
! **Total magnetization**: 4.73 μB per formula unit
! **Calculated formation energy**: 4231 meV per atom
! **Space group**: No. 227
! **Distance to the lowest polymorph of the same formula**: 405.6 kJ/mol of atoms

***

(5)
! NaZrCdAu, relaxed, DFT PBE; values from VASP
&SYSTEM
  ibrav = 0, nat = 4, ntyp = 4
/
ATOMIC_SPECIES
Au 196.97 Au.upf
Na 22.99 Na.upf
Zr 91.22 Zr.upf
Cd 112.41 Cd.upf
ATOMIC_POSITIONS crystal
Au 0.7500 0.7500 0.7500
Na 0.5000 0.5000 0.5000
Zr 0.0000 0.0000 0.0000
Cd 0.2500 0.2500 0.2500
CELL_PARAMETERS angstrom
-3.2773 -3.4265 1.2178
-3.0910 0.7798 3.7152
-4.7574 0.7378 -0.8877
! **V**: 20.739 A^3/atom
! **Total magnetization**: 0.01 μB per formula unit
! **Space group**: No. 216
! **Distance to the lowest polymorph of the same formula**: 1.4 kJ/mol of atoms

***

(6)
! PmNpFe, relaxed, DFT PBE; values from VASP
&SYSTEM
  ibrav = 0, nat = 3, ntyp = 3
/
ATOMIC_SPECIES
Pm 145.00 Pm.upf
Np 237.00 Np.upf
Fe 55.84 Fe.upf
ATOMIC_POSITIONS crystal
Pm 0.7500 0.7500 0.7500
Np 0.2500 0.2500 0.2500
Fe 0.0000 0.0000 0.0000
CELL_PARAMETERS angstrom
0.0000 3.1924 3.1924
3.1924 0.0000 3.1924
3.1924 3.1924 0.0000
! **V**: 21.690 A^3/atom
! **Total magnetization**: 0.06 μB per formula unit
! **Calculated formation energy**: 825 meV per atom
! **Space group**: No. 216
! **Distance to the lowest polymorph of the same formula**: 0.0 kJ/mol of atoms

***

(7)
! BaDyPu, relaxed, DFT PBE; values from VASP
&SYSTEM
  ibrav = 0, nat = 3, ntyp = 3
/
ATOMIC_SPECIES
Pu 244.00 Pu.upf
Ba 137.33 Ba.upf
Dy 162.50 Dy.upf
ATOMIC_POSITIONS crystal
Pu 0.0000 0.0000 0.0000
Ba 0.2500 0.2500 0.2500
Dy 0.7500 0.7500 0.7500
CELL_PARAMETERS angstrom
0.0000 4.0348 4.0348
4.0348 0.0000 4.0348
4.0348 4.0348 0.0000
! **V**: 43.791 A^3/atom
! **Total magnetization**: 7.58 μB per formula unit
! **Space group**: No. 216
! **Distance to the lowest polymorph of the same formula**: 0.0 kJ/mol of atoms

***

(8)
! RbLiTc, relaxed, DFT PBE; values from VASP
&SYSTEM
  ibrav = 0, nat = 3, ntyp = 3
/
ATOMIC_SPECIES
Li 6.94 Li.upf
Tc 98.00 Tc.upf
Rb 85.47 Rb.upf
ATOMIC_POSITIONS crystal
Li 0.2500 0.2500 0.2500
Tc 0.7500 0.7500 0.7500
Rb 0.0000 0.0000 0.0000
CELL_PARAMETERS angstrom
0.0000 3.7048 3.7048
3.7048 0.0000 3.7048
3.7048 3.7048 0.0000
! **V**: 33.899 A^3/atom
! **Total magnetization**: 3.00 μB per formula unit
! **Space group**: No. 216
! **Distance to the lowest polymorph of the same formula**: 27.0 kJ/mol of atoms

***

(9)
! CsHoSnSe3, relaxed, DFT PBE; values from VASP
&SYSTEM
  ibrav = 0, nat = 12, ntyp = 4
/
ATOMIC_SPECIES
Se 78.96 Se.upf
Ho 164.93 Ho.upf
Sn 118.71 Sn.upf
Cs 132.91 Cs.upf
ATOMIC_POSITIONS crystal
Se 0.5029 0.4971 0.7500
Se 0.1109 0.8891 0.0077
Se 0.8891 0.1109 0.5077
Se 0.4971 0.5029 0.2500
Se 0.1109 0.8891 0.4923
Se 0.8891 0.1109 0.9923
Ho 0.5000 0.5000 0.5000
Ho 0.5000 0.5000 0.0000
Sn 0.8965 0.1035 0.7500
Sn 0.1035 0.8965 0.2500
Cs 0.1997 0.8003 0.7500
Cs 0.8003 0.1997 0.2500
CELL_PARAMETERS angstrom
-0.5691 2.9720 -8.4439
-2.5962 -0.3394 8.5791
7.5485 8.9403 2.6379
! **V**: 35.944 A^3/atom
! **Total magnetization**: 0.00 μB per formula unit
! **Space group**: No. 63
! **Electronic total energy**: -54.2 eV per cell

***

(10)
! TaTlAsO, relaxed, DFT PBE; values from VASP
&SYSTEM
  ibrav = 0, nat = 8, ntyp = 4
/
ATOMIC_SPECIES
O 16.00 O.upf
As 74.92 As.upf
Ta 180.95 Ta.upf
Tl 204.38 Tl.upf
ATOMIC_POSITIONS crystal
O 0.5000 0.5061 0.7588
O 0.5000 0.4939 0.2588
As 0.0000 0.8255 0.4965
As 0.0000 0.1745 0.9965
Ta 0.5000 0.3887 0.0041
Ta 0.5000 0.6113 0.5041
Tl 0.0000 0.1719 0.4946
Tl 0.0000 0.8281 0.9946
CELL_PARAMETERS angstrom
3.3546 0.0000 0.0000
0.0000 8.7257 0.0000
0.0000 0.0000 6.5761
! **V**: 24.062 A^3/atom
! **Total magnetization**: 0.01 μB per formula unit
! **Space group**: No. 26
! **Distance to the lowest polymorph of the same formula**: 3.5 kJ/mol of atoms

***

(11)
! TeAuF7, relaxed, DFT PBE; values from VASP
&SYSTEM
  ibrav = 0, nat = 18, ntyp = 3
/
ATOMIC_SPECIES
Te 127.60 Te.upf
Au 196.97 Au.upf
F 19.00 F.upf
ATOMIC_POSITIONS crystal
Te 0.6501 0.2266 0.7779
Te 0.3499 0.7734 0.2221
Au 0.0644 0.2241 0.4348
Au 0.9356 0.7759 0.5652
F 0.6191 0.8186 0.4994
F 0.5843 0.5197 0.7648
F 0.3884 0.1594 0.9063
F 0.0205 0.3644 0.7075
F 0.7473 0.2505 0.3845
F 0.2527 0.7495 0.6155
F 0.4157 0.4803 0.2352
F 0.1980 0.6692 0.9705
F 0.8020 0.3308 0.0295
F 0.8950 0.9274 0.8318
F 0.1050 0.0726 0.1682
F 0.9795 0.6356 0.2925
F 0.3808 0.1814 0.5006
F 0.6116 0.8406 0.0938
CELL_PARAMETERS angstrom
-5.1755 1.2501 2.7728
-2.6543 -2.3674 -5.0033
0.9847 -5.7784 3.3271
! **V**: 13.570 A^3/atom
! **Space group**: No. 2
! **Electronic total energy**: -66.6 eV per cell

***

(12)
! HgPt8, relaxed, DFT PBE; values from VASP
&SYSTEM
  ibrav = 0, nat = 18, ntyp = 2
/
ATOMIC_SPECIES
Pt 195.08 Pt.upf
Hg 200.59 Hg.upf
ATOMIC_POSITIONS crystal
Pt 0.8554 0.8554 0.3133
Pt 0.5555 0.5555 0.2784
Pt 0.5485 0.5485 0.6188
Pt 0.0500 0.0500 0.4492
Pt 0.7485 0.7485 0.7528
Pt 0.9500 0.9500 0.5508
Pt 0.4515 0.4515 0.3812
Pt 0.3502 0.3502 0.4829
Pt 0.2496 0.2496 0.5844
Pt 0.7504 0.7504 0.4156
Pt 0.2515 0.2515 0.2472
Pt 0.6498 0.6498 0.5171
Pt 0.8465 0.8465 0.6520
Pt 0.4445 0.4445 0.7216
Pt 0.1535 0.1535 0.3480
Pt 0.1446 0.1446 0.6867
Hg 0.0536 0.0536 0.7954
Hg 0.9464 0.9464 0.2046
CELL_PARAMETERS angstrom
-0.0907 4.7590 0.2479
-3.5063 3.1984 -0.4408
-4.4731 -2.1304 27.0132
! **V**: 25.433 A^3/atom
! **Total magnetization**: 0.01 μB per formula unit
! **Calculated formation energy**: 102 meV per atom
! **Space group**: No. 12

***

Q: Which value of V does entry 11 give?
A: 13.570 A^3/atom

***

Q: The lowest V belongs to which entry?
A: TeAuF7